# Nd4Ho5Tl

Nd4Ho5Tl after structural relaxation (PBE, the Alexandria database).

Computed properties:
DOS at the Fermi energy: 16.0 states/eV/f.u.
calculated formation energy: 0.032 eV/atom
energy relative to the lowest polymorph listed for this composition: 0.000 eV per atom
symmetry: P4/mmm (123)
energy: -4.4005 eV per atom
calculated volume: 31.73 Å³/atom

abc: 4.1496 4.1496 18.4260
angles: 90.00 90.00 90.00
Fractional positions:
Nd: 0.0000 0.0000 0.1959
Nd: 0.0000 0.0000 0.3972
Nd: 0.0000 0.0000 0.6028
Nd: 0.0000 0.0000 0.8041
Ho: 0.5000 0.5000 0.0877
Ho: 0.5000 0.5000 0.2925
Ho: 0.5000 0.5000 0.5000
Ho: 0.5000 0.5000 0.7075
Ho: 0.5000 0.5000 0.9123
Tl: 0.0000 0.0000 0.0000